# 1
Ho4CuTeSe2 after structural relaxation, computed with PBE-GGA.

Summary:
Its space group is P2/m. The spin magnetization comes out at 0.00 μB per cell. The calculated density comes out at 8.383 Mg/m³. For the formation energy (no corrections), the calculation gives -1.212 eV per atom.

abc: 4.0165 7.2678 7.2017
angles: 71.90 90.00 90.00
Atoms (fractional coordinates):
1 Ho 0.0000 0.7603 0.7294
2 Cu 0.0000 0.5000 0.5000
3 Te 0.5000 0.5000 0.0000
4 Ho 0.5000 0.2576 0.7297
5 Ho 0.5000 0.7424 0.2703
6 Se 0.0000 0.0000 0.0000
7 Se 0.5000 0.0000 0.5000
8 Ho 0.0000 0.2397 0.2706



# 2
Ho8CuTe4Se3 after structural relaxation, computed with PBE-GGA.

Summary:
Its space group is R-3m. The spin magnetization comes out at 0.00 μB per cell. The calculated density comes out at 8.380 Mg/m³. For the formation energy (no corrections), the calculation gives -1.334 eV per atom.

abc: 8.3465 8.4959 8.3462
angles: 119.42 120.00 90.00
Atoms (fractional coordinates):
1 Se 0.0000 0.5000 0.5000
2 Ho 0.7694 0.2836 0.0142
3 Ho 0.7401 0.7199 0.4802
4 Ho 0.2306 0.7164 0.9858
5 Ho 0.7700 0.2840 0.5400
6 Te 0.0000 0.0000 0.0000
7 Cu 0.0000 0.5000 0.0000
8 Ho 0.2448 0.2836 0.0142
9 Te 0.5000 0.0000 0.5000
10 Ho 0.2300 0.7160 0.4600
11 Ho 0.7552 0.7164 0.9858
12 Se 0.5000 0.5000 0.5000
13 Te 0.5000 0.0000 0.0000
14 Ho 0.2599 0.2801 0.5198
15 Te 0.0000 0.0000 0.5000
16 Se 0.5000 0.5000 0.0000



# 3
HoCuTeSe after structural relaxation, computed with PBE-GGA.

Summary:
Its space group is R3m. The spin magnetization comes out at 0.00 μB per cell. The calculated density comes out at 7.116 Mg/m³. For the formation energy (no corrections), the calculation gives -0.933 eV per atom.

abc: 4.1046 4.1046 7.3499
angles: 89.98 106.24 119.99
Atoms (fractional coordinates):
1 Cu 0.7572 0.2054 0.9626
2 Se 0.1578 0.9051 0.0629
3 Ho 0.6621 0.6570 0.3190
4 Te 0.5087 0.0802 0.5888



# 4
HoTlCuSe2 after structural relaxation, computed with PBE-GGA.

Summary:
Its space group is P2/c. The spin magnetization comes out at 0.00 μB per cell. The calculated density comes out at 6.844 Mg/m³. For the formation energy (no corrections), the calculation gives -0.717 eV per atom.

abc: 5.8563 6.6006 7.6559
angles: 104.38 90.00 90.00
Atoms (fractional coordinates):
1 Ho 0.5330 0.0000 0.2500
2 Cu 0.0000 0.0000 0.5000
3 Se 0.2873 0.2476 0.0719
4 Tl 0.2018 0.5000 0.7500
5 Cu 0.0000 0.0000 0.0000
6 Tl 0.7982 0.5000 0.2500
7 Se 0.7127 0.7524 0.9281
8 Ho 0.4670 0.0000 0.7500
9 Se 0.7127 0.2476 0.5719
10 Se 0.2873 0.7524 0.4281



# 5
HoTl2Cu2Se4 after structural relaxation, computed with PBE-GGA.

Summary:
Its space group is C2/m. The spin magnetization comes out at 0.00 μB per cell. The calculated density comes out at 7.454 Mg/m³. For the formation energy (no corrections), the calculation gives -0.743 eV per atom.

abc: 3.9865 8.0382 7.7012
angles: 107.54 105.00 90.00
Atoms (fractional coordinates):
1 Tl 0.8676 0.4408 0.7352
2 Se 0.2015 0.1792 0.4029
3 Se 0.4752 0.2348 0.9504
4 Se 0.7985 0.8208 0.5971
5 Tl 0.1324 0.5592 0.2648
6 Se 0.5248 0.7652 0.0496
7 Cu 0.3170 0.0101 0.6339
8 Cu 0.6830 0.9899 0.3661
9 Ho 0.0000 0.0000 0.0000



# 6
HoTm2CuSe5 after structural relaxation, computed with PBE-GGA.

Summary:
Its space group is Cmc2_1. The spin magnetization comes out at 0.00 μB per cell. The calculated density comes out at 7.802 Mg/m³. For the formation energy (no corrections), the calculation gives -1.485 eV per atom.

abc: 3.9470 8.9261 11.9077
angles: 90.00 90.00 102.77
Atoms (fractional coordinates):
1 Se 0.6426 0.2853 0.5007
2 Se 0.7113 0.4227 0.1789
3 Se 0.9593 0.9186 0.5679
4 Tm 0.1070 0.2140 0.6832
5 Se 0.6832 0.3664 0.8399
6 Se 0.2887 0.5773 0.6789
7 Ho 0.1922 0.3844 0.0100
8 Tm 0.1206 0.2412 0.3047
9 Se 0.0407 0.0814 0.0679
10 Tm 0.8794 0.7588 0.8047
11 Se 0.4977 0.9954 0.7814
12 Se 0.3168 0.6336 0.3399
13 Tm 0.8930 0.7860 0.1832
14 Se 0.3574 0.7147 0.0007
15 Cu 0.4359 0.8719 0.4573
16 Ho 0.8078 0.6156 0.5100
17 Se 0.5023 0.0046 0.2814
18 Cu 0.5641 0.1281 0.9573



# 7
Ho2TmCuSe5 after structural relaxation, computed with PBE-GGA.

Summary:
Its space group is Cmc2_1. The spin magnetization comes out at 0.00 μB per cell. The calculated density comes out at 7.747 Mg/m³. For the formation energy (no corrections), the calculation gives -1.518 eV per atom.

abc: 3.9633 8.8835 11.9561
angles: 90.00 90.00 102.89
Atoms (fractional coordinates):
1 Se 0.0415 0.0830 0.0670
2 Ho 0.1079 0.2159 0.6844
3 Se 0.5018 0.0037 0.2812
4 Tm 0.1926 0.3852 0.0101
5 Se 0.7125 0.4250 0.1754
6 Se 0.3137 0.6274 0.3427
7 Se 0.9585 0.9170 0.5670
8 Se 0.6863 0.3726 0.8427
9 Tm 0.8074 0.6148 0.5101
10 Ho 0.8921 0.7841 0.1844
11 Cu 0.4357 0.8714 0.4570
12 Se 0.4982 0.9963 0.7812
13 Cu 0.5643 0.1286 0.9570
14 Ho 0.1224 0.2448 0.3057
15 Ho 0.8776 0.7552 0.8057
16 Se 0.3568 0.7137 0.0005
17 Se 0.2875 0.5750 0.6754
18 Se 0.6432 0.2863 0.5005



# 8
HoCuSi after structural relaxation, computed with PBE-GGA.

Summary:
Its space group is F-43m. The spin magnetization comes out at 0.00 μB per cell. The calculated density comes out at 7.404 Mg/m³. For the formation energy (no corrections), the calculation gives -0.514 eV per atom.

abc: 4.3335 4.3335 4.3335
angles: 60.00 60.00 60.00
Atoms (fractional coordinates):
1 Cu 0.2500 0.2500 0.2500
2 Si 0.0000 0.0000 0.0000
3 Ho 0.5000 0.5000 0.5000



# 9
Ho3CuSi4 after structural relaxation, computed with PBE-GGA.

Summary:
Its space group is Immm. The spin magnetization comes out at 0.00 μB per cell. The calculated density comes out at 6.486 Mg/m³. For the formation energy (no corrections), the calculation gives -0.507 eV per atom.

abc: 4.2524 5.5927 8.0291
angles: 110.38 105.36 90.00
Atoms (fractional coordinates):
1 Ho 0.1940 0.1940 0.3880
2 Si 0.3811 0.1686 0.7622
3 Si 0.6189 0.8314 0.2378
4 Si 0.6189 0.4064 0.2378
5 Cu 0.5000 0.0000 0.0000
6 Ho 0.8060 0.8060 0.6120
7 Ho 0.0000 0.5000 0.0000
8 Si 0.3811 0.5936 0.7622



# 10
Ho3Cu2Si4 after structural relaxation, computed with PBE-GGA.

Summary:
Its space group is C2/m. The spin magnetization comes out at 0.00 μB per cell. The calculated density comes out at 7.316 Mg/m³. For the formation energy (no corrections), the calculation gives -0.722 eV per atom.

abc: 4.0376 5.6460 7.9888
angles: 100.74 90.00 110.95
Atoms (fractional coordinates):
1 Si 0.0594 0.1188 0.3881
2 Ho 0.0000 0.0000 0.0000
3 Cu 0.6122 0.2243 0.2823
4 Si 0.2824 0.5649 0.9407
5 Ho 0.3380 0.6761 0.3318
6 Si 0.7176 0.4351 0.0593
7 Ho 0.6620 0.3239 0.6682
8 Si 0.9406 0.8812 0.6119
9 Cu 0.3878 0.7757 0.7177



# 11
Ho3CuSi after structural relaxation, computed with PBE-GGA.

Summary:
Its space group is C2/m. The spin magnetization comes out at 0.00 μB per cell. The calculated density comes out at 8.230 Mg/m³. For the formation energy (no corrections), the calculation gives -0.363 eV per atom.

abc: 4.2345 7.1362 8.2140
angles: 86.58 89.96 107.21
Atoms (fractional coordinates):
1 Ho 0.2578 0.5479 0.0323
2 Si 0.4339 0.9007 0.2701
3 Si 0.6101 0.2534 0.1513
4 Cu 0.8184 0.6704 0.7765
5 Ho 0.0737 0.1809 0.4034
6 Ho 0.7862 0.6062 0.3892
7 Ho 0.9704 0.9733 0.0180
8 Ho 0.4184 0.8703 0.6342
9 Cu 0.2253 0.4837 0.6456
10 Ho 0.6256 0.2837 0.7872



# 12
Ho2Cu3Si4 after structural relaxation, computed with PBE-GGA.

Summary:
Its space group is Cmce. The spin magnetization comes out at 0.00 μB per cell. The calculated density comes out at 7.348 Mg/m³. For the formation energy (no corrections), the calculation gives -0.446 eV per atom.

abc: 5.4538 7.2494 7.7315
angles: 90.00 110.65 90.00
Atoms (fractional coordinates):
1 Si 0.1790 0.9811 0.3580
2 Ho 0.3915 0.0961 0.7829
3 Si 0.1906 0.7500 0.8812
4 Si 0.6790 0.5189 0.3580
5 Ho 0.6085 0.9039 0.2171
6 Si 0.3094 0.2500 0.1188
7 Si 0.8094 0.2500 0.1188
8 Si 0.6906 0.7500 0.8812
9 Cu 0.5000 0.5000 0.0000
10 Ho 0.1085 0.5961 0.2171
11 Cu 0.4744 0.2500 0.4488
12 Cu 0.0256 0.7500 0.5512
13 Si 0.8210 0.0189 0.6420
14 Cu 0.0000 0.0000 0.0000
15 Cu 0.5256 0.7500 0.5512
16 Cu 0.9744 0.2500 0.4488
17 Si 0.3210 0.4811 0.6420
18 Ho 0.8915 0.4039 0.7829



Which formula does entry 8 have? HoCuSi



Look up the spin magnetization of the twelfth one. 0.00 μB per cell



What is the formula in the twelfth record? Ho2Cu3Si4